ErCuPbSe2S | PBE-GGA | relaxed

Computed properties:
Mass density (Mg/m³): 7.5
Electronic total energy (eV/atom): -4.89
Crystal system: orthorhombic

Lattice parameters (Å, degrees): 7.0611 7.0611 10.1875 90.00 90.00 147.03
Closest atoms and distances in Å follow each position.
Positions (direct):
Cu: 0.0267 0.9733 0.2500  2 S 2.39, 2 Se 2.47
Cu: 0.9733 0.0267 0.7500  2 S 2.39, 2 Se 2.47
Er: 0.5000 0.5000 0.0000  2 S 2.72, 4 Se 2.85
Er: 0.5000 0.5000 0.5000  2 S 2.72, 4 Se 2.85
Pb: 0.7557 0.2443 0.2500  2 S 3.10, 6 Se 3.17-3.47
Pb: 0.2443 0.7557 0.7500  2 S 3.10, 6 Se 3.17-3.47
S: 0.4300 0.5700 0.2500  2 Cu 2.39
S: 0.5700 0.4300 0.7500  2 Cu 2.39
Se: 0.1423 0.8577 0.0620  1 Cu 2.47
Se: 0.1423 0.8577 0.4380  1 Cu 2.47
Se: 0.8577 0.1423 0.5620  1 Cu 2.47
Se: 0.8577 0.1423 0.9380  1 Cu 2.47

---

ErCuTePbS2 | PBE-GGA | relaxed

Computed properties:
Mass density (Mg/m³): 6.9
Electronic total energy (eV/atom): -4.85
Crystal system: orthorhombic

Lattice parameters (Å, degrees): 7.2076 7.2076 10.9121 90.00 90.00 147.81
Closest atoms and distances in Å follow each position.
Positions (direct):
Cu: 0.0268 0.9732 0.2500  2 S 2.33
Cu: 0.9732 0.0268 0.7500  2 S 2.33
Er: 0.5000 0.5000 0.0000  4 S 2.73
Er: 0.5000 0.5000 0.5000  4 S 2.73
Pb: 0.7109 0.2891 0.2500  4 S 3.04, 2 Cu 3.24, 2 Te 3.29
Pb: 0.2891 0.7109 0.7500  4 S 3.04, 2 Cu 3.24, 2 Te 3.29
S: 0.1216 0.8784 0.0740  1 Cu 2.33
S: 0.1216 0.8784 0.4260  1 Cu 2.33
S: 0.8784 0.1216 0.5740  1 Cu 2.33
S: 0.8784 0.1216 0.9260  1 Cu 2.33
Te: 0.3992 0.6008 0.2500  2 Cu 2.67
Te: 0.6008 0.3992 0.7500  2 Cu 2.67

---

ErCuTePbSe2 | PBE-GGA | relaxed

Computed properties:
Mass density (Mg/m³): 7.6
Electronic total energy (eV/atom): -4.58
Crystal system: orthorhombic

Lattice parameters (Å, degrees): 7.2814 7.2814 11.0716 90.00 90.00 147.39
Closest atoms and distances in Å follow each position.
Positions (direct):
Cu: 0.9676 0.0324 0.2500  2 Se 2.47, 2 Te 2.68
Cu: 0.0324 0.9676 0.7500  2 Se 2.47, 2 Te 2.68
Er: 0.5000 0.5000 0.0000  4 Se 2.86, 2 Te 3.05
Er: 0.5000 0.5000 0.5000  4 Se 2.86, 2 Te 3.05
Pb: 0.2803 0.7197 0.2500  4 Se 3.13, 2 Cu 3.32, 2 Te 3.34
Pb: 0.7197 0.2803 0.7500  4 Se 3.13, 2 Cu 3.32, 2 Te 3.34
Se: 0.8667 0.1333 0.0664  1 Cu 2.47
Se: 0.8667 0.1333 0.4336  1 Cu 2.47
Se: 0.1333 0.8667 0.5664  1 Cu 2.47
Se: 0.1333 0.8667 0.9336  1 Cu 2.47
Te: 0.5914 0.4086 0.2500  2 Cu 2.68
Te: 0.4086 0.5914 0.7500  2 Cu 2.68

---

SmErCu2Pb2 | PBE-GGA | relaxed

Computed properties:
Mass density (Mg/m³): 10.5
Electronic total energy (eV/atom): -4.41
Crystal system: trigonal

Lattice parameters (Å, degrees): 4.6077 4.6077 7.3975 90.00 90.00 120.00
Closest atoms and distances in Å follow each position.
Positions (direct):
Cu: 0.3333 0.6667 0.0615  4 Pb 2.75-2.94, 3 Er 2.95
Cu: 0.6667 0.3333 0.5438  3 Pb 2.73, 3 Sm 3.01
Er: 0.0000 0.0000 0.2332  3 Cu 2.95, 6 Pb 3.14-3.30
Pb: 0.3333 0.6667 0.4584  4 Cu 2.73-2.94
Pb: 0.6667 0.3333 0.9691  3 Cu 2.75
Sm: 0.0000 0.0000 0.7340  3 Cu 3.01, 6 Pb 3.18-3.35

---

TbErCu2Pb | PBE-GGA | relaxed

Computed properties:
Mass density (Mg/m³): 10.1
Electronic total energy (eV/atom): -4.44
Crystal system: orthorhombic

Lattice parameters (Å, degrees): 3.6760 7.3257 7.3257 33.34 90.00 90.00
Closest atoms and distances in Å follow each position.
Positions (direct):
Cu: 0.0000 0.2042 0.2042  2 Cu 2.48
Cu: 0.0000 0.7978 0.7978  2 Cu 2.48
Er: 0.5000 0.3637 0.3637  6 Cu 2.90-2.94
Pb: 0.0000 0.9991 0.9991  2 Cu 2.83-2.88
Tb: 0.5000 0.6351 0.6351  6 Cu 2.93-2.96

---

ErTmCu2Pb | PBE-GGA | relaxed

Computed properties:
Mass density (Mg/m³): 10.5
Electronic total energy (eV/atom): -4.41
Crystal system: orthorhombic

Lattice parameters (Å, degrees): 3.6396 7.2829 7.2829 33.43 90.00 90.00
Closest atoms and distances in Å follow each position.
Positions (direct):
Cu: 0.0000 0.2027 0.2027  2 Cu 2.47
Cu: 0.0000 0.7965 0.7965  2 Cu 2.47
Er: 0.5000 0.3641 0.3641  6 Cu 2.89-2.93
Pb: 0.0000 0.0003 0.0003  2 Cu 2.82-2.84
Tm: 0.5000 0.6364 0.6364  6 Cu 2.88-2.93